(1)
DFT (PBE) results for a geometry-optimized La2Y7Ho4 structure.

a = 6.1151 Å, b = 6.1152 Å, c = 13.3741 Å
α = 90.00°, β = 90.00°, γ = 120.00°
Last column: nearest neighbours and their distance in Å.
Atoms (fractional coordinates):
Y 0.6455 0.6455 0.7814  1 Ho 3.21, 4 Y 3.42, 2 La 3.53
Ho 0.6667 0.3333 0.5000  9 Ho 3.53-3.80
La 0.6667 0.3333 0.0000  9 Y 3.53, 3 La 3.53
Y 0.3545 0.3545 0.2186  1 Ho 3.21, 4 Y 3.42, 2 La 3.53
Y 0.6455 0.0000 0.2186  1 Ho 3.21, 4 Y 3.42, 2 La 3.53
Ho 0.0000 0.0000 0.3957  1 Ho 2.79
Y 0.3545 0.0000 0.7814  1 Ho 3.21, 4 Y 3.42, 2 La 3.53
La 0.3333 0.6667 0.0000  9 Y 3.53, 3 La 3.53
Ho 0.3333 0.6667 0.5000  9 Ho 3.53-3.80
Y 0.0000 0.3545 0.7814  1 Ho 3.21, 4 Y 3.42, 2 La 3.53
Y 0.0000 0.0000 0.0000  6 La 3.53, 6 Y 3.64
Ho 0.0000 0.0000 0.6043  1 Ho 2.79
Y 0.0000 0.6455 0.2186  1 Ho 3.21, 4 Y 3.42, 2 La 3.53

---

(2)
DFT (PBE) results for a geometry-optimized LaY10Ho4 structure.

a = 6.5584 Å, b = 9.6626 Å, c = 9.6626 Å
α = 83.39°, β = 70.16°, γ = 70.16°
Last column: nearest neighbours and their distance in Å.
Atoms (fractional coordinates):
Y 0.9576 0.1627 0.4205  4 Y 3.15-3.29, 2 Ho 3.37
Ho 0.4334 0.8943 0.2389  2 Ho 3.36, 6 Y 3.37-3.54
Ho 0.5666 0.1057 0.7611  2 Ho 3.36, 6 Y 3.37-3.54
Y 0.3781 0.5795 0.1627  4 Y 3.15-3.29, 2 Ho 3.37
La 0.0000 0.0000 0.0000  8 Ho 4.05, 8 Y 4.41
Ho 0.6723 0.7611 0.8943  2 Ho 3.36, 6 Y 3.37-3.54
Y 0.7500 0.5000 0.5000  6 Y 3.15-3.28
Y 0.1203 0.4205 0.8373  4 Y 3.15-3.29, 2 Ho 3.37
Y 0.0424 0.8373 0.5795  4 Y 3.15-3.29, 2 Ho 3.37
Ho 0.3277 0.2389 0.1057  2 Ho 3.36, 6 Y 3.37-3.54
Y 0.4593 0.1627 0.4205  4 Y 3.15-3.29, 2 Ho 3.37
Y 0.8797 0.5795 0.1627  4 Y 3.15-3.29, 2 Ho 3.37
Y 0.2500 0.5000 0.5000  6 Y 3.15-3.28
Y 0.6219 0.4205 0.8373  4 Y 3.15-3.29, 2 Ho 3.37
Y 0.5407 0.8373 0.5795  4 Y 3.15-3.29, 2 Ho 3.37

---

(3)
DFT (PBE) results for a geometry-optimized La2Y2Ho5 structure.

a = 3.4964 Å, b = 8.3074 Å, c = 12.5665 Å
α = 120.44°, β = 98.00°, γ = 90.00°
Last column: nearest neighbours and their distance in Å.
Atoms (fractional coordinates):
Y 0.4535 0.2639 0.9070  7 Ho 3.22-3.58, 3 Y 3.38-3.50
Ho 0.3091 0.1515 0.6181  1 Y 3.22, 6 Ho 3.23-3.50, 1 La 3.51
Ho 0.6909 0.8485 0.3819  1 Y 3.22, 6 Ho 3.23-3.50, 1 La 3.51
Ho 0.0963 0.4591 0.1925  5 Ho 3.31-3.50, 4 Y 3.52-3.58, 1 La 3.57
Y 0.5465 0.7361 0.0930  7 Ho 3.22-3.58, 3 Y 3.38-3.50
La 0.8190 0.7817 0.6381  2 La 3.50, 5 Ho 3.51-3.90
Ho 0.9037 0.5409 0.8075  5 Ho 3.31-3.50, 4 Y 3.52-3.58, 1 La 3.57
La 0.1810 0.2183 0.3619  2 La 3.50, 5 Ho 3.51-3.90
Ho 0.0000 0.0000 0.0000  4 Ho 3.31-3.50, 4 Y 3.44

Computed properties:
Offset from the most stable computed form (meV per atom): 13.5

---

(4)
DFT (PBE) results for a geometry-optimized LaY4Ho3 structure.

a = 3.4464 Å, b = 6.6962 Å, c = 15.3249 Å
α = 130.94°, β = 96.46°, γ = 90.00°
Last column: nearest neighbours and their distance in Å.
Atoms (fractional coordinates):
Y 0.6264 0.1219 0.2528  4 Y 3.25-3.45, 1 La 3.37, 3 Ho 3.52
Ho 0.0000 0.5000 0.0000  2 Ho 3.45, 8 Y 3.74, 4 La 3.77
Ho 0.2398 0.2190 0.4796  6 Ho 3.45-3.80, 6 Y 3.51-3.52
Y 0.3736 0.3642 0.7473  4 Y 3.25-3.45, 1 La 3.37, 3 Ho 3.51-3.52
Y 0.6264 0.6358 0.2527  4 Y 3.25-3.45, 1 La 3.37, 3 Ho 3.51-3.52
La 0.5000 0.0000 0.0000  4 Y 3.37, 2 La 3.45, 4 Ho 3.77
Y 0.3736 0.8781 0.7472  4 Y 3.25-3.45, 1 La 3.37, 3 Ho 3.52
Ho 0.7602 0.7810 0.5204  6 Ho 3.45-3.80, 6 Y 3.51-3.52

Computed properties:
Offset from the most stable computed form (meV per atom): 142.1

---

The DFT formation energy results, record by record, are as follows: 0.20; 0.56; 0.22; 0.17 eV per atom.